# TcNi2Hg2

A PBEsol-optimized structure of TcNi2Hg2 (meta-GGA SCAN, the Alexandria database).

Calculated values
The calculated volume is 16.8 Å³/atom. The raw total energy is -39.89 eV/atom. The value obtained for the formation energy is 0.86 eV per atom.

```
data_TcNi2Hg2
_chemical_formula_sum 'Tc1 Ni2 Hg2'
_cell_length_a 6.2187
_cell_length_b 6.2187
_cell_length_c 6.2187
_cell_angle_alpha 143.61
_cell_angle_beta 143.61
_cell_angle_gamma 52.41
_symmetry_space_group_name_H-M 'P 1'
_symmetry_Int_Tables_number 1
_symmetry_space_group_name_Hall 'P 1'
loop_
_atom_site_label
_atom_site_type_symbol
_atom_site_fract_x
_atom_site_fract_y
_atom_site_fract_z
_atom_site_occupancy
Tc1 Tc 0.0000 0.0000 0.0000 1
Ni1 Ni 0.4039 0.4039 0.0000 1
Ni2 Ni 0.5961 0.5961 0.0000 1
Hg1 Hg 0.2500 0.7500 0.5000 1
Hg2 Hg 0.7500 0.2500 0.5000 1
```

---

# ZnTeIr2

A PBEsol-optimized structure of ZnTeIr2 (meta-GGA SCAN, the Alexandria database).

Calculated values
The calculated volume is 15.9 Å³/atom. Its formation energy without anion corrections is 209 meV/atom. The raw total energy is -48.03 eV/atom. For the relative energy among the computed polymorphs, the calculation gives 0.06 eV/f.u.

```
data_ZnTeIr2
_chemical_formula_sum 'Zn1 Te1 Ir2'
_cell_length_a 4.5462
_cell_length_b 4.5462
_cell_length_c 4.9907
_cell_angle_alpha 100.46
_cell_angle_beta 100.46
_cell_angle_gamma 38.85
_symmetry_space_group_name_H-M 'P 1'
_symmetry_Int_Tables_number 1
_symmetry_space_group_name_Hall 'P 1'
loop_
_atom_site_label
_atom_site_type_symbol
_atom_site_fract_x
_atom_site_fract_y
_atom_site_fract_z
_atom_site_occupancy
Zn1 Zn 0.0000 0.0000 0.0000 1
Te1 Te 0.5000 0.5000 0.5000 1
Ir1 Ir 0.2530 0.2530 0.7608 1
Ir2 Ir 0.7470 0.7470 0.2392 1
```

---

# ZrSi2MoPt

A PBEsol-optimized structure of ZrSi2MoPt (meta-GGA SCAN, the Alexandria database).

Calculated values
The calculated volume is 22.3 Å³/atom. Its formation energy without anion corrections is 1356 meV/atom. The raw total energy is -29.81 eV/atom.

```
data_ZrSi2MoPt
_chemical_formula_sum 'Zr1 Si2 Mo1 Pt1'
_cell_length_a 4.8149
_cell_length_b 4.8149
_cell_length_c 4.8175
_cell_angle_alpha 90.00
_cell_angle_beta 90.00
_cell_angle_gamma 90.00
_symmetry_space_group_name_H-M 'P 1'
_symmetry_Int_Tables_number 1
_symmetry_space_group_name_Hall 'P 1'
loop_
_atom_site_label
_atom_site_type_symbol
_atom_site_fract_x
_atom_site_fract_y
_atom_site_fract_z
_atom_site_occupancy
Zr1 Zr 0.0000 0.0000 0.0000 1
Si1 Si 0.0000 0.5000 0.0000 1
Si2 Si 0.5000 0.0000 0.0000 1
Mo1 Mo 0.5000 0.5000 0.5000 1
Pt1 Pt 0.0000 0.0000 0.5000 1
```